Density functional theory data (meta-GGA SCAN) for Al13Ru4 at its PBEsol-relaxed geometry.

Lattice parameters (Å, degrees): 15.8228 8.1462 12.6873 90.00 107.71 90.00
Closest atoms and distances in Å follow each position.
Space group C2/m (No. 12)
Unique sites:
Al: 0.0000 0.0000 0.0000 [2 per cell]  2 Ru 2.54, 4 Al 2.76
Al: 0.0000 0.2495 0.5000 [4 per cell]  4 Ru 2.54
Al: 0.0093 0.2327 0.1708 [8 per cell]  3 Ru 2.50-2.65, 3 Al 2.68-2.78
Al: 0.0183 0.0000 0.6703 [4 per cell]  3 Ru 2.52-2.65, 1 Al 2.58
Al: 0.0671 0.5000 0.6743 [4 per cell]  3 Ru 2.52-2.72, 1 Al 2.56
Al: 0.0719 0.5000 0.0804 [4 per cell]  7 Al 2.55-2.78, 4 Ru 2.57-2.66
Al: 0.0823 0.5000 0.2857 [4 per cell]  3 Ru 2.52-2.57, 7 Al 2.56-2.74
Al: 0.1328 0.2154 0.3910 [8 per cell]  3 Ru 2.53-2.79, 2 Al 2.67-2.70
Al: 0.1356 0.2225 0.0196 [8 per cell]  3 Ru 2.51-2.81, 5 Al 2.67-2.78
Al: 0.1775 0.0000 0.2168 [4 per cell]  2 Ru 2.43
Al: 0.1785 0.2788 0.8353 [8 per cell]  3 Ru 2.52-2.72, 2 Al 2.67-2.69
Al: 0.1858 0.2806 0.6097 [8 per cell]  3 Ru 2.53-2.74, 3 Al 2.70-2.81
Al: 0.1894 0.0000 0.7261 [4 per cell]  4 Ru 2.55-2.70, 7 Al 2.58-2.85
Al: 0.2352 0.5000 0.0413 [4 per cell]  2 Ru 2.51-2.60, 3 Al 2.72-2.78
Al: 0.2389 0.5000 0.4542 [4 per cell]  2 Ru 2.47-2.49, 1 Al 2.74
Ru: 0.0852 0.5000 0.8833 [4 per cell]  10 Al 2.52-2.81
Ru: 0.0916 0.5000 0.4873 [4 per cell]  8 Al 2.49-2.72
Ru: 0.0994 0.0000 0.5160 [4 per cell]  10 Al 2.47-2.74
Ru: 0.0989 0.0000 0.8756 [4 per cell]  10 Al 2.50-2.72
Ru: 0.1813 0.2976 0.2219 [8 per cell]  9 Al 2.43-2.66

Calculated values
raw total energy	-14.757	eV per atom
size of the total moment	0.0000	μB/atom

=====

Density functional theory data (meta-GGA SCAN) for NiIrPt2 at its PBEsol-relaxed geometry.

Lattice parameters (Å, degrees): 3.7943 3.7943 7.5938 90.00 90.00 90.00
Closest atoms and distances in Å follow each position.
Space group I4/mmm (No. 139)
Unique sites:
Ni: 0.0000 0.0000 0.0000 [2 per cell]  4 Ir 2.68, 8 Pt 2.68
Ir: 0.0000 0.0000 0.5000 [2 per cell]  4 Ni 2.68, 8 Pt 2.68
Pt: 0.0000 0.5000 0.2500 [4 per cell]  4 Pt 2.68, 4 Ni 2.68, 4 Ir 2.68

Calculated values
size of the total moment	0.2854	μB/atom
energy above the most stable polymorph in this dataset	0.0848	eV per atom

=====

Density functional theory data (meta-GGA SCAN) for Ba2OsBr at its PBEsol-relaxed geometry.

Lattice parameters (Å, degrees): 3.9400 5.0660 6.2316 90.00 90.00 90.00
Closest atoms and distances in Å follow each position.
Space group Pmmm (No. 47)
Unique sites:
Ba: 0.0000 0.0000 0.0000 [1 per cell]  2 Os 3.12, 4 Br 3.21
Ba: 0.5000 0.5000 0.5000 [1 per cell]  2 Br 3.12, 4 Os 3.21
Os: 0.0000 0.0000 0.5000 [1 per cell]  6 Ba 3.12-3.21
Br: 0.5000 0.5000 0.0000 [1 per cell]  6 Ba 3.12-3.21

Calculated values
E_form (uncorrected)	-0.224	eV per atom
size of the total moment	0.1945	μB/atom
energy above the most stable polymorph in this dataset	0.1327	eV per atom

=====

Density functional theory data (meta-GGA SCAN) for CdHgPb at its PBEsol-relaxed geometry.

Lattice parameters (Å, degrees): 3.3960 3.3960 12.7241 90.00 90.00 90.00
Closest atoms and distances in Å follow each position.
Space group I4mm (No. 107)
Unique sites:
Cd: 0.0000 0.0000 0.0000 [2 per cell]  4 Hg 3.02, 4 Pb 3.29
Hg: 0.0000 0.0000 0.6445 [2 per cell]  4 Cd 3.02, 4 Pb 3.30
Pb: 0.0000 0.0000 0.3228 [2 per cell]  4 Cd 3.29, 4 Hg 3.30, 4 Pb 3.40

Calculated values
raw total energy	-58.071	eV per atom
size of the total moment	0.0000	μB/atom

=====

> Among the records above, which one has the highest size of the total moment?

NiIrPt2